La4SiAu | GGA-PBE | optimized geometry

The structure in POSCAR format:
```
La4SiAu
1.0
0.0000 4.4545 4.4545
4.4545 0.0000 4.4545
4.4545 4.4545 0.0000
La Si Au
4 1 1
Cartesian
3.3584 5.5505 5.5505 La
5.5505 5.5505 3.3584 La
5.5505 3.3584 5.5505 La
3.3584 3.3584 3.3584 La
6.6817 6.6817 6.6817 Si
0.0000 0.0000 0.0000 Au
```

Summary:
calculated density = 7.33 g/cm3
energy relative to the elements, uncorrected = 0.28 eV per atom
electronic total energy = -4.46 eV per atom